# Nb3Hg2Cl9

Nb3Hg2Cl9 after structural relaxation (GGA-PBE, Alexandria).

The structure in POSCAR format:
```
Nb3Hg2Cl9
1.0
10.4793 0.5768 -2.0253
-3.1235 7.7647 -4.7355
0.0922 -0.2830 9.6116
Nb Hg Cl
6 4 18
Direct
0.3526 0.1071 0.1071
0.6474 0.8929 0.8929
0.6121 0.0664 0.2464
0.3879 0.7536 0.9336
0.3879 0.9336 0.7536
0.6121 0.2464 0.0664
0.1058 0.5012 0.1202
0.8942 0.8798 0.4988
0.8942 0.4988 0.8798
0.1058 0.1202 0.5012
0.5000 0.2045 0.7955
0.2539 0.4579 0.8520
0.2539 0.8520 0.4579
0.7461 0.5421 0.1480
0.8200 0.7667 0.7667
0.1800 0.2333 0.2333
0.4610 0.3996 0.1943
0.5390 0.8057 0.6004
0.5390 0.6004 0.8057
0.4610 0.1943 0.3996
0.2440 0.6464 0.6464
0.7939 0.9550 0.1595
0.7939 0.1595 0.9550
0.2061 0.0450 0.8405
0.2061 0.8405 0.0450
0.5000 0.7955 0.2045
0.7560 0.3536 0.3536
0.7461 0.1480 0.5421
```

E_form (uncorrected)   -1.017 eV per atom
SG   No. 12